The following is a DFT calculation (PBE) of crystalline CaNi2Pb2 at its relaxed geometry.

Results
Polymorph energy (0 for the lowest one): 61 meV/atom

Unit cell a=7.6740 b=7.6740 c=3.5208 alpha=90.00 beta=90.00 gamma=90.00
With the nearest neighbours (Å) after each atom.
Fractional positions:
Pb 0.1638 0.6638 0.5000  6 Ni 2.82-2.93
Ni 0.6203 0.1203 0.0000  1 Ni 2.61, 4 Pb 2.82
Ni 0.3797 0.8797 0.0000  1 Ni 2.61, 4 Pb 2.82
Pb 0.3362 0.1638 0.5000  6 Ni 2.82-2.93
Pb 0.8362 0.3362 0.5000  6 Ni 2.82-2.93
Ni 0.8797 0.6203 0.0000  1 Ni 2.61, 4 Pb 2.82
Ca 0.0000 0.0000 0.0000  4 Ni 3.06, 8 Pb 3.37
Pb 0.6638 0.8362 0.5000  6 Ni 2.82-2.93
Ca 0.5000 0.5000 0.0000  4 Ni 3.06, 8 Pb 3.37
Ni 0.1203 0.3797 0.0000  1 Ni 2.61, 4 Pb 2.82

***

The following is a DFT calculation (PBE) of crystalline TlSbC at its relaxed geometry.

Results
Polymorph energy (0 for the lowest one): 79 meV/atom
Formation energy (no corrections): 200 kJ/mol of formula units

Unit cell a=4.4992 b=5.7618 c=6.9145 alpha=92.00 beta=89.97 gamma=113.08
With the nearest neighbours (Å) after each atom.
Fractional positions:
Sb 0.4827 0.4911 0.3019  1 Sb 2.87
C 0.9665 0.7406 0.7920  1 C 1.27
Tl 0.7777 0.0808 0.9912  2 C 2.75
Sb 0.4775 0.4812 0.7161  2 C 2.17
Tl 0.7779 0.0859 0.4655  2 Tl 3.28-3.64, 5 Sb 3.31-3.49, 2 C 3.36-3.38
C 0.2485 0.7404 0.7919  1 C 1.27

***

The following is a DFT calculation (PBE) of crystalline TaOsS2 at its relaxed geometry.

Results
Polymorph energy (0 for the lowest one): 311 meV/atom
Formation energy (no corrections): 35 kJ/mol of formula units

Unit cell a=4.3011 b=4.3011 c=4.3011 alpha=60.00 beta=60.00 gamma=60.00
With the nearest neighbours (Å) after each atom.
Fractional positions:
Ta 0.0000 0.0000 0.0000  8 S 2.63
Os 0.5000 0.5000 0.5000  8 S 2.63
S 0.7500 0.7500 0.7500  4 Ta 2.63, 4 Os 2.63
S 0.2500 0.2500 0.2500  4 Ta 2.63, 4 Os 2.63

***

The following is a DFT calculation (PBE) of crystalline Sr4Pa3PtN8 at its relaxed geometry.

Results
Formation energy (no corrections): -1637 kJ/mol of formula units

Unit cell a=6.8519 b=7.0900 c=7.3433 alpha=118.54 beta=117.81 gamma=90.00
With the nearest neighbours (Å) after each atom.
Fractional positions:
Sr 0.0000 0.0000 0.0000  6 N 2.67-2.97
N 0.2238 0.6873 0.9521  1 Pt 2.28, 2 Pa 2.30-2.48
Sr 0.0000 0.0000 0.5000  4 N 2.63-2.76
Sr 0.5000 0.0000 0.5000  4 N 2.63-2.76
Pa 0.0000 0.5000 0.5000  6 N 2.24-2.48
N 0.2706 0.3002 0.5412  3 Pa 2.33-2.52
N 0.7208 0.2732 0.4415  2 Pa 2.24, 1 Sr 2.44
Sr 0.5000 0.0000 0.0000  6 N 2.44-2.69
Pt 0.0000 0.5000 0.0000  4 N 2.28
N 0.7283 0.6873 0.9521  1 Pt 2.28, 2 Pa 2.30-2.48
N 0.2717 0.3127 0.0479  1 Pt 2.28, 2 Pa 2.30-2.48
N 0.7294 0.6998 0.4588  3 Pa 2.33-2.52
N 0.2792 0.7268 0.5585  2 Pa 2.24, 1 Sr 2.44
Pa 0.5000 0.5000 0.0000  6 N 2.30-2.52
Pa 0.5000 0.5000 0.5000  6 N 2.24-2.48
N 0.7762 0.3127 0.0479  1 Pt 2.28, 2 Pa 2.30-2.48

***

The following is a DFT calculation (PBE) of crystalline HfCo3Ni at its relaxed geometry.

Results
Polymorph energy (0 for the lowest one): 937 meV/atom

Unit cell a=4.4652 b=4.4652 c=4.4652 alpha=90.00 beta=90.00 gamma=90.00
With the nearest neighbours (Å) after each atom.
Fractional positions:
Co 0.0000 0.0000 0.5000  2 Hf 2.23
Co 0.5000 0.0000 0.0000  2 Hf 2.23
Hf 0.0000 0.0000 0.0000  6 Co 2.23
Ni 0.5000 0.5000 0.5000  12 Co 3.16
Co 0.0000 0.5000 0.0000  2 Hf 2.23

***

The following is a DFT calculation (PBE) of crystalline Sm2ScGe2 at its relaxed geometry.

Results
Electronic total energy: -5.78 eV per atom

Unit cell a=4.3459 b=6.3983 c=9.7025 alpha=79.29 beta=77.06 gamma=70.15
With the nearest neighbours (Å) after each atom.
Fractional positions:
Ge 0.0127 0.8600 0.1147  1 Ge 2.58, 1 Sc 2.88
Sc 0.2240 0.9216 0.6303  4 Ge 2.71-2.88
Sm 0.5143 0.6562 0.3152  6 Ge 3.04-3.22
Sm 0.6819 0.7312 0.9050  5 Ge 3.10-3.27, 2 Sc 3.47
Sm 0.4857 0.3438 0.6848  6 Ge 3.04-3.22
Ge 0.8747 0.6871 0.5635  1 Ge 2.68, 3 Sc 2.71-2.81
Sc 0.7760 0.0784 0.3697  4 Ge 2.71-2.88
Ge 0.9873 0.1400 0.8853  1 Ge 2.58, 1 Sc 2.88
Ge 0.1253 0.3129 0.4365  1 Ge 2.68, 3 Sc 2.71-2.81
Sm 0.3181 0.2688 0.0950  5 Ge 3.10-3.27, 2 Sc 3.47

***

The following is a DFT calculation (PBE) of crystalline Mg2NiSn at its relaxed geometry.

Results
Electronic total energy: -3.38 eV per atom

Unit cell a=4.5445 b=4.5445 c=4.8379 alpha=90.00 beta=90.00 gamma=120.00
With the nearest neighbours (Å) after each atom.
Fractional positions:
Mg 0.3333 0.6667 0.1608  3 Ni 2.74, 3 Mg 3.05
Sn 0.0000 0.0000 0.5000  2 Ni 2.42
Ni 0.0000 0.0000 0.0000  2 Sn 2.42
Mg 0.6667 0.3333 0.8392  3 Ni 2.74, 3 Mg 3.05

***

The following is a DFT calculation (PBE) of crystalline BeCrTeN2 at its relaxed geometry.

Results
Polymorph energy (0 for the lowest one): 899 meV/atom
Formation energy (no corrections): 725 kJ/mol of formula units

Unit cell a=3.5718 b=3.5718 c=5.1507 alpha=90.00 beta=90.00 gamma=90.00
With the nearest neighbours (Å) after each atom.
Fractional positions:
N 0.0000 0.5000 0.0000  2 Be 1.79
Be 0.0000 0.0000 0.0000  4 N 1.79
Te 0.0000 0.0000 0.5000  4 Cr 2.53, 2 Be 2.58
Cr 0.5000 0.5000 0.5000  4 Te 2.53
N 0.5000 0.0000 0.0000  2 Be 1.79

***

The following is a DFT calculation (PBE) of crystalline NaLaNdTe3 at its relaxed geometry.

Results
Formation energy (no corrections): -739 kJ/mol of formula units

Unit cell a=4.4672 b=9.1680 c=10.0253 alpha=105.22 beta=90.00 gamma=90.00
With the nearest neighbours (Å) after each atom.
Fractional positions:
Na 0.2500 0.0948 0.5868  4 Te 2.97-3.11, 2 Na 3.07
Nd 0.2500 0.6665 0.1534  6 Te 3.14-3.44
Na 0.7500 0.9052 0.4132  4 Te 2.97-3.11, 2 Na 3.07
Te 0.2500 0.5675 0.8250  3 Nd 3.14-3.18, 2 La 3.25
La 0.7500 0.8026 0.7711  7 Te 3.25-3.39
Te 0.2500 0.7430 0.5083  3 Na 2.98-3.11
Te 0.7500 0.9123 0.1192  1 Na 2.97, 2 Nd 3.25
Nd 0.7500 0.3335 0.8466  6 Te 3.14-3.44
Te 0.2500 0.0877 0.8808  1 Na 2.97, 2 Nd 3.25
La 0.2500 0.1974 0.2289  7 Te 3.25-3.39
Te 0.7500 0.2570 0.4917  3 Na 2.98-3.11
Te 0.7500 0.4325 0.1750  3 Nd 3.14-3.18, 2 La 3.25

***

The following is a DFT calculation (PBE) of crystalline Mg2ScNi at its relaxed geometry.

Results
Electronic total energy: -3.75 eV per atom

Unit cell a=5.0324 b=5.7521 c=2.9906 alpha=77.96 beta=83.25 gamma=114.01
With the nearest neighbours (Å) after each atom.
Fractional positions:
Sc 0.5000 0.5000 0.0000  4 Ni 2.77-3.07, 4 Mg 2.95, 2 Sc 2.99
Ni 0.0000 0.5000 0.5000  4 Sc 2.77-3.07, 4 Mg 2.95, 2 Ni 2.99
Mg 0.0000 0.0000 0.0000  6 Mg 2.77-3.07, 2 Ni 2.95, 2 Sc 2.95
Mg 0.5000 0.0000 0.5000  6 Mg 2.77-3.07, 2 Sc 2.95, 2 Ni 2.95

***

The following is a DFT calculation (PBE) of crystalline PrErZnPb at its relaxed geometry.

Results
Electronic total energy: -3.95 eV per atom

Unit cell a=5.3263 b=5.3263 c=5.3263 alpha=60.00 beta=60.00 gamma=60.00
With the nearest neighbours (Å) after each atom.
Fractional positions:
Pr 0.7500 0.7500 0.7500  4 Pb 3.26, 4 Zn 3.26
Pb 0.0000 0.0000 0.0000  4 Pr 3.26, 4 Er 3.26
Zn 0.5000 0.5000 0.5000  4 Pr 3.26, 4 Er 3.26
Er 0.2500 0.2500 0.2500  4 Pb 3.26, 4 Zn 3.26

***

The following is a DFT calculation (PBE) of crystalline LaTe at its relaxed geometry.

Results
Formation energy (no corrections): -308 kJ/mol of formula units

Unit cell a=4.5827 b=4.5827 c=4.5827 alpha=60.00 beta=60.00 gamma=60.00
With the nearest neighbours (Å) after each atom.
Fractional positions:
La 0.0000 0.0000 0.0000  6 Te 3.24
Te 0.5000 0.5000 0.5000  6 La 3.24

***

The following is a DFT calculation (PBE) of crystalline CeHf6Pd12 at its relaxed geometry.

Results
Electronic total energy: -7.27 eV per atom

Unit cell a=7.7071 b=7.7071 c=7.7071 alpha=108.16 beta=108.16 gamma=108.16
With the nearest neighbours (Å) after each atom.
Fractional positions:
Pd 0.1445 0.3713 0.3713  2 Hf 2.60-2.83, 2 Pd 2.83
Pd 0.3713 0.3713 0.1445  2 Hf 2.60-2.83, 2 Pd 2.83
Pd 0.8555 0.6287 0.6287  2 Hf 2.60-2.83, 2 Pd 2.83
Hf 0.2591 0.6983 0.6983  6 Pd 2.60-2.83
Pd 0.8891 0.1109 0.5000  4 Hf 2.68-2.73, 5 Pd 2.77-2.99
Pd 0.5000 0.1109 0.8891  4 Hf 2.68-2.73, 5 Pd 2.77-2.99
Pd 0.1109 0.8891 0.5000  4 Hf 2.68-2.73, 5 Pd 2.77-2.99
Hf 0.6983 0.6983 0.2591  6 Pd 2.60-2.83
Hf 0.7409 0.3017 0.3017  6 Pd 2.60-2.83
Pd 0.3713 0.1445 0.3713  2 Hf 2.60-2.83, 2 Pd 2.83
Pd 0.6287 0.6287 0.8555  2 Hf 2.60-2.83, 2 Pd 2.83
Hf 0.3017 0.7409 0.3017  6 Pd 2.60-2.83
Pd 0.1109 0.5000 0.8891  4 Hf 2.68-2.73, 5 Pd 2.77-2.99
Hf 0.6983 0.2591 0.6983  6 Pd 2.60-2.83
Pd 0.8891 0.5000 0.1109  4 Hf 2.68-2.73, 5 Pd 2.77-2.99
Pd 0.6287 0.8555 0.6287  2 Hf 2.60-2.83, 2 Pd 2.83
Ce 0.0000 0.0000 0.0000  6 Pd 2.92
Hf 0.3017 0.3017 0.7409  6 Pd 2.60-2.83
Pd 0.5000 0.8891 0.1109  4 Hf 2.68-2.73, 5 Pd 2.77-2.99

***

The following is a DFT calculation (PBE) of crystalline In5Sn3I12 at its relaxed geometry.

Results
Polymorph energy (0 for the lowest one): 0 meV/atom
Formation energy (no corrections): -869 kJ/mol of formula units

Unit cell a=4.6155 b=14.3820 c=14.3820 alpha=120.00 beta=90.00 gamma=90.00
With the nearest neighbours (Å) after each atom.
Fractional positions:
I 0.5000 0.4520 0.1963  1 Sn 3.19, 4 In 3.48-3.56
I 0.0000 0.5283 0.0000  2 Sn 3.16, 1 In 3.39
I 0.5000 0.7443 0.5480  1 Sn 3.19, 4 In 3.48-3.56
I 0.0000 0.8326 0.0000  2 Sn 3.20
I 0.5000 0.8037 0.2557  1 Sn 3.19, 4 In 3.48-3.56
I 0.0000 0.0000 0.5283  2 Sn 3.16, 1 In 3.39
In 0.0000 0.3333 0.6667  6 I 3.56
In 0.0000 0.2924 0.0000  7 I 3.39-3.65
In 0.0000 0.7076 0.7076  7 I 3.39-3.65
Sn 0.5000 0.6788 0.0000  6 I 3.16-3.20
In 0.0000 0.6667 0.3333  6 I 3.56
I 0.0000 0.0000 0.8326  2 Sn 3.20
I 0.5000 0.5480 0.7443  1 Sn 3.19, 4 In 3.48-3.56
In 0.0000 0.0000 0.2924  7 I 3.39-3.65
I 0.5000 0.2557 0.8037  1 Sn 3.19, 4 In 3.48-3.56
I 0.0000 0.1674 0.1674  2 Sn 3.20
Sn 0.5000 0.3212 0.3212  6 I 3.16-3.20
Sn 0.5000 0.0000 0.6788  6 I 3.16-3.20
I 0.5000 0.1963 0.4520  1 Sn 3.19, 4 In 3.48-3.56
I 0.0000 0.4717 0.4717  2 Sn 3.16, 1 In 3.39

***

The following is a DFT calculation (PBE) of crystalline NaTi2AlSn at its relaxed geometry.

Results
Electronic total energy: -4.07 eV per atom

Unit cell a=5.1190 b=5.1793 c=5.1190 alpha=90.00 beta=90.00 gamma=90.00
With the nearest neighbours (Å) after each atom.
Fractional positions:
Sn 0.0000 0.0000 0.0000  4 Ti 2.56, 2 Na 2.59
Ti 0.0000 0.0000 0.5000  2 Sn 2.56
Al 0.5000 0.5000 0.5000  4 Na 3.62, 8 Ti 3.64
Na 0.0000 0.5000 0.0000  2 Sn 2.59
Ti 0.5000 0.0000 0.0000  2 Sn 2.56

***

The following is a DFT calculation (PBE) of crystalline Ba2SrCr at its relaxed geometry.

Results
Polymorph energy (0 for the lowest one): 97 meV/atom

Unit cell a=6.2565 b=6.2565 c=6.2565 alpha=120.06 beta=120.06 gamma=89.89
With the nearest neighbours (Å) after each atom.
Fractional positions:
Cr 0.5000 0.5000 0.0000  4 Ba 3.83, 4 Sr 3.83
Ba 0.0000 0.0000 0.0000  4 Ba 3.83, 4 Sr 3.83
Ba 0.2500 0.7500 0.5000  4 Cr 3.83, 4 Ba 3.83
Sr 0.7500 0.2500 0.5000  4 Ba 3.83, 4 Cr 3.83

***

The following is a DFT calculation (PBE) of crystalline SrCa14La at its relaxed geometry.

Results
Electronic total energy: -2.14 eV per atom

Unit cell a=7.8659 b=7.8659 c=10.9882 alpha=90.00 beta=90.00 gamma=90.00
With the nearest neighbours (Å) after each atom.
Fractional positions:
Ca 0.6215 0.8715 0.7478  10 Ca 3.86-3.99, 1 La 3.90, 1 Sr 3.95
Ca 0.8751 0.6252 0.0000  8 Ca 3.92-3.93, 2 Sr 3.93, 2 La 3.93
La 0.3752 0.6248 0.0000  12 Ca 3.90-3.93
Ca 0.1285 0.3785 0.7478  10 Ca 3.86-3.99, 1 La 3.90, 1 Sr 3.95
Ca 0.6214 0.3786 0.2523  10 Ca 3.86-3.99, 1 La 3.90, 1 Sr 3.95
Ca 0.3748 0.1249 0.0000  8 Ca 3.92-3.93, 2 Sr 3.93, 2 La 3.93
Ca 0.8748 0.1252 0.5000  12 Ca 3.92-3.93
Ca 0.1287 0.8713 0.7479  10 Ca 3.86-3.99, 1 La 3.90, 1 Sr 3.96
Ca 0.1285 0.3785 0.2522  10 Ca 3.86-3.99, 1 La 3.90, 1 Sr 3.95
Ca 0.8753 0.6253 0.5000  12 Ca 3.89-3.93
Ca 0.3747 0.1247 0.5000  12 Ca 3.89-3.93
Ca 0.6215 0.8715 0.2522  10 Ca 3.86-3.99, 1 La 3.90, 1 Sr 3.95
Ca 0.1287 0.8713 0.2521  10 Ca 3.86-3.99, 1 La 3.90, 1 Sr 3.96
Ca 0.3751 0.6249 0.5000  12 Ca 3.86-3.93
Sr 0.8747 0.1253 0.0000  12 Ca 3.93-3.96
Ca 0.6214 0.3786 0.7477  10 Ca 3.86-3.99, 1 La 3.90, 1 Sr 3.95

***

The following is a DFT calculation (PBE) of crystalline NaErCu4 at its relaxed geometry.

Results
Electronic total energy: -3.74 eV per atom

Unit cell a=5.1497 b=5.1497 c=5.1497 alpha=60.00 beta=60.00 gamma=60.00
With the nearest neighbours (Å) after each atom.
Fractional positions:
Cu 0.6257 0.6257 0.6257  6 Cu 2.56-2.59
Na 0.0000 0.0000 0.0000  12 Cu 3.02, 4 Er 3.15
Er 0.2500 0.2500 0.2500  12 Cu 3.02, 4 Na 3.15
Cu 0.6257 0.1228 0.6257  6 Cu 2.56-2.59
Cu 0.6257 0.6257 0.1228  6 Cu 2.56-2.59
Cu 0.1228 0.6257 0.6257  6 Cu 2.56-2.59

***

The following is a DFT calculation (PBE) of crystalline NdAl2Ge at its relaxed geometry.

Results
Polymorph energy (0 for the lowest one): 0 meV/atom

Unit cell a=4.5292 b=4.3073 c=4.3073 alpha=90.00 beta=90.00 gamma=90.00
With the nearest neighbours (Å) after each atom.
Fractional positions:
Nd 0.5000 0.0000 0.0000  4 Ge 3.05, 8 Al 3.13
Al 0.0000 0.5000 0.0000  4 Al 3.05, 4 Ge 3.13, 4 Nd 3.13
Al 0.0000 0.0000 0.5000  4 Al 3.05, 4 Ge 3.13, 4 Nd 3.13
Ge 0.5000 0.5000 0.5000  4 Nd 3.05, 8 Al 3.13

***

The following is a DFT calculation (PBE) of crystalline RbSr3Y at its relaxed geometry.

Results
Polymorph energy (0 for the lowest one): 413 meV/atom

Unit cell a=6.3882 b=6.3882 c=6.3882 alpha=90.00 beta=90.00 gamma=90.00
With the nearest neighbours (Å) after each atom.
Fractional positions:
Sr 0.5000 0.0000 0.0000  2 Rb 3.19
Y 0.5000 0.5000 0.5000  12 Sr 4.52
Sr 0.0000 0.0000 0.5000  2 Rb 3.19
Rb 0.0000 0.0000 0.0000  6 Sr 3.19
Sr 0.0000 0.5000 0.0000  2 Rb 3.19